(1)
Hf2P: optimized geometry, PBE.

For the energy of formation, the calculation gives -779.2 meV/atom.

Cell: 3.4056 17.7438 7.3667 Å, 90.00 90.00 90.00°
Space group Cmc2_1 (No. 36)
Inequivalent atoms, fractional coordinates:
Hf  0.0000  0.0252  0.0000 (multiplicity 4)
Hf  0.0000  0.1659  0.3644 (multiplicity 4)
Hf  0.0000  0.3271  0.5184 (multiplicity 4)
Hf  0.0000  0.4024  0.1671 (multiplicity 4)
P  0.0000  0.2170  0.7534 (multiplicity 4)
P  0.0000  0.4444  0.7842 (multiplicity 4)

(2)
HfPa5P6: optimized geometry, PBE.

For the energy of formation, the calculation gives -1315.5 meV/atom.

Cell: 6.8000 11.7808 6.7937 Å, 90.00 109.57 90.00°
Space group C2/m (No. 12)
Inequivalent atoms, fractional coordinates:
Hf  0.0000  0.0000  0.0000 (multiplicity 2)
Pa  0.0000  0.1694  0.5000 (multiplicity 4)
Pa  0.0000  0.3340  0.0000 (multiplicity 4)
Pa  0.0000  0.5000  0.5000 (multiplicity 2)
P  0.2402  0.0000  0.7538 (multiplicity 4)
P  0.2414  0.1614  0.2413 (multiplicity 8)

(3)
HfPa4P6: optimized geometry, PBE.

For the energy of formation, the calculation gives -1147.4 meV/atom.

Cell: 10.7945 10.7945 13.4102 Å, 90.00 90.00 120.00°
Space group R-3c (No. 167, hexagonal axes)
Inequivalent atoms, fractional coordinates:
Hf  0.0000  0.0000  0.0000 (multiplicity 6)
Pa  0.0000  0.0000  0.2500 (multiplicity 6)
Pa  0.0000  0.3812  0.2500 (multiplicity 18)
P  0.0284  0.2055  0.3878 (multiplicity 36)

(4)
HfPa3P4: optimized geometry, PBE.

For the energy of formation, the calculation gives -1306.8 meV/atom.

Cell: 6.7386 7.8635 6.7445 Å, 90.00 109.88 90.00°
Space group P2/c (No. 13)
Inequivalent atoms, fractional coordinates:
Hf  0.0000  0.1252  0.2500 (multiplicity 2)
Pa  0.0000  0.3736  0.7500 (multiplicity 2)
Pa  0.5000  0.1253  0.7500 (multiplicity 2)
Pa  0.5000  0.3742  0.2500 (multiplicity 2)
P  0.2371  0.1172  0.0005 (multiplicity 4)
P  0.2426  0.3676  0.4924 (multiplicity 4)

(5)
Hf3Pa5P8: optimized geometry, PBE.

For the energy of formation, the calculation gives -1303.5 meV/atom.

Cell: 7.7449 7.7449 18.8824 Å, 90.00 90.00 120.00°
Space group R-3m (No. 166, hexagonal axes)
Inequivalent atoms, fractional coordinates:
Hf  0.0000  0.5000  0.0000 (multiplicity 9)
Pa  0.0000  0.0000  0.0000 (multiplicity 3)
Pa  0.0000  0.0000  0.5000 (multiplicity 3)
Pa  0.0000  0.5000  0.5000 (multiplicity 9)
P  0.0000  0.0000  0.2557 (multiplicity 6)
P  0.0094  0.5047  0.2546 (multiplicity 18)

(6)
Hf2PaP3: optimized geometry, PBE.

For the energy of formation, the calculation gives -1261.4 meV/atom.

Cell: 3.7160 3.7160 19.2145 Å, 90.00 90.00 120.00°
Space group P6_3/mmc (No. 194)
Inequivalent atoms, fractional coordinates:
Hf  0.3333  0.6667  0.0795 (multiplicity 4)
Pa  0.0000  0.0000  0.2500 (multiplicity 2)
P  0.0000  0.0000  0.0000 (multiplicity 2)
P  0.3333  0.6667  0.6568 (multiplicity 4)

(7)
HfPaP3: optimized geometry, PBE.

For the energy of formation, the calculation gives -702.7 meV/atom.

Cell: 5.5690 16.0088 4.8442 Å, 90.00 90.00 90.00°
Space group Cmmm (No. 65)
Inequivalent atoms, fractional coordinates:
Hf  0.0000  0.1105  0.0000 (multiplicity 4)
Pa  0.0000  0.3271  0.5000 (multiplicity 4)
P  0.0000  0.1526  0.5000 (multiplicity 4)
P  0.1883  0.5000  0.0000 (multiplicity 4)
P  0.2500  0.2500  0.0000 (multiplicity 4)

(8)
Pm2HfPaP4: optimized geometry, PBE.

For the energy of formation, the calculation gives -1422.4 meV/atom.

Cell: 6.8324 3.9676 6.9309 Å, 90.00 109.15 90.00°
Space group P2/m (No. 10)
Inequivalent atoms, fractional coordinates:
Pm  0.0000  0.0000  0.0000 (multiplicity 1)
Pm  0.5000  0.5000  0.0000 (multiplicity 1)
Hf  0.0000  0.5000  0.5000 (multiplicity 1)
Pa  0.5000  0.0000  0.5000 (multiplicity 1)
P  0.2354  0.0000  0.7258 (multiplicity 2)
P  0.2474  0.5000  0.2682 (multiplicity 2)